Compound: SrLiPb2
Source: the Alexandria database
Functional: PBE-GGA
Structure: relaxed

The energy of formation from the pure elements is -105 kJ/mol of formula units. The calculation puts the total DFT energy (no corrections) at -3.026 eV/atom. The total moment is 0.0 μB per formula unit.

The space group is F-43m (No. 216) and the conventional cell measures 7.906, 7.906 and 7.906 Å, with angles of 90.00, 90.00 and 90.00 degrees. The asymmetric unit holds Sr at (0.000, 0.000, 0.000), Li at (0.250, 0.250, 0.250), Pb at (0.000, 0.000, 0.500) and Pb at (0.250, 0.250, 0.750).